First-principles (PBE) data for a geometry-optimized LaCo2H7 structure, as listed in Alexandria.

Lattice parameters (Å, degrees): 4.9609 4.9609 3.5584 90.00 90.00 121.10
Element x y z (fractional)
La 0.0000 0.0000 0.0000
Co 0.3140 0.6860 0.5000
Co 0.6860 0.3140 0.5000
H 0.0262 0.3328 0.5000
H 0.3189 0.6811 0.0000
H 0.3328 0.0262 0.5000
H 0.5000 0.5000 0.5000
H 0.6672 0.9738 0.5000
H 0.6811 0.3189 0.0000
H 0.9738 0.6672 0.5000

Properties
Theoretical density: 5.84 g/cm3
DOS at the Fermi energy: 0.150 states/eV/atom
Calculated total energy: -4.52 eV per atom
Crystal system: orthorhombic

First-principles (PBE) data for a geometry-optimized LaCo5H3 structure, as listed in Alexandria.

Lattice parameters (Å, degrees): 5.0478 4.0419 5.2277 90.00 118.55 90.00
Element x y z (fractional)
La 0.0000 0.0000 0.0000
Co 0.0000 0.5000 0.5000
Co 0.3343 0.0000 0.6208
Co 0.5000 0.5000 0.0000
Co 0.5000 0.5000 0.5000
Co 0.6657 0.0000 0.3792
H 0.1377 0.5000 0.8531
H 0.5000 0.0000 0.0000
H 0.8623 0.5000 0.1469

Properties
Theoretical density: 7.74 g/cm3
DOS at the Fermi energy: 0.964 states/eV/atom
Calculated total energy: -5.71 eV per atom
Crystal system: monoclinic